# 1
# Al2CrPC, optimized geometry, DFT PBE
# **E_tot**: -6.0364 eV per atom
# **Energy of formation from the pure elements**: 0.31 eV/atom
# **Symmetry**: P4/mmm, No. 123
# **N(E_F)**: 3.928 states/eV/cell
data_Al2CrPC
_chemical_formula_sum 'Al2 Cr1 P1 C1'
_space_group_name_H-M_alt 'P 1'
_space_group_IT_number 1
_space_group_name_Hall 'P 1'
_cell_length_a 3.967
_cell_length_b 3.981
_cell_length_c 3.967
_cell_angle_alpha 90.00
_cell_angle_beta 90.00
_cell_angle_gamma 90.00
loop_
_atom_site_label
_atom_site_fract_x
_atom_site_fract_y
_atom_site_fract_z
Al1 0.500 0.000 0.000
P1 0.500 0.500 0.500
C1 0.000 0.000 0.000
Al2 0.000 0.000 0.500
Cr1 0.000 0.500 0.000

# 2
# AlCrSbC2, optimized geometry, DFT PBE
# **E_tot**: -5.2676 eV per atom
# **Symmetry**: P4/mmm, No. 123
# **Formation energy without anion corrections**: 1.92 eV per atom
# **N(E_F)**: 6.601 states/eV/cell
data_AlCrSbC2
_chemical_formula_sum 'Al1 Cr1 Sb1 C2'
_space_group_name_H-M_alt 'P 1'
_space_group_IT_number 1
_space_group_name_Hall 'P 1'
_cell_length_a 3.877
_cell_length_b 4.994
_cell_length_c 3.877
_cell_angle_alpha 90.00
_cell_angle_beta 90.00
_cell_angle_gamma 90.00
loop_
_atom_site_label
_atom_site_fract_x
_atom_site_fract_y
_atom_site_fract_z
C1 0.000 0.000 0.500
C2 0.500 0.000 0.000
Al1 0.000 0.000 0.000
Sb1 0.500 0.500 0.500
Cr1 0.000 0.500 0.000